one | {
  "formula": "Ni3W2",
  "functional": "PBE-GGA",
  "state": "optimized geometry",
  "volume_a3_per_atom": 13.0,
  "lattice": [[9.115, 0.000, 0.000], [0.000, 9.115, 0.000], [0.000, 0.000, 4.711]],
  "species": ["Ni", "Ni", "Ni", "Ni", "Ni", "Ni", "Ni", "Ni", "Ni", "Ni", "Ni", "Ni", "Ni", "Ni", "Ni", "Ni", "Ni", "Ni", "W", "W", "W", "W", "W", "W", "W", "W", "W", "W", "W", "W"],
  "fractional_positions": [[0.000, 0.000, 0.000], [0.467, 0.128, 0.000], [0.128, 0.467, 0.000], [0.872, 0.533, 0.000], [0.533, 0.872, 0.000], [0.672, 0.328, 0.247], [0.328, 0.672, 0.247], [0.172, 0.172, 0.253], [0.828, 0.828, 0.253], [0.628, 0.033, 0.500], [0.967, 0.372, 0.500], [0.500, 0.500, 0.500], [0.033, 0.628, 0.500], [0.372, 0.967, 0.500], [0.172, 0.172, 0.747], [0.828, 0.828, 0.747], [0.672, 0.328, 0.753], [0.328, 0.672, 0.753], [0.731, 0.067, 0.000], [0.933, 0.269, 0.000], [0.397, 0.397, 0.000], [0.603, 0.603, 0.000], [0.067, 0.731, 0.000], [0.269, 0.933, 0.000], [0.897, 0.103, 0.500], [0.433, 0.231, 0.500], [0.231, 0.433, 0.500], [0.769, 0.567, 0.500], [0.567, 0.769, 0.500], [0.103, 0.897, 0.500]]
}

two | {
  "formula": "Ni3W2",
  "functional": "PBE-GGA",
  "state": "optimized geometry",
  "volume_a3_per_atom": 13.0,
  "lattice": [[-3.875, 2.947, -7.665], [4.899, -5.972, -4.773], [-3.424, -3.206, 0.498]],
  "species": ["Ni", "Ni", "Ni", "Ni", "Ni", "Ni", "Ni", "Ni", "Ni", "Ni", "Ni", "Ni", "Ni", "Ni", "Ni", "Ni", "Ni", "Ni", "W", "W", "W", "W", "W", "W", "W", "W", "W", "W", "W", "W"],
  "fractional_positions": [[0.000, 0.000, 0.000], [0.744, 0.063, 0.000], [0.937, 0.256, 0.000], [0.063, 0.744, 0.000], [0.256, 0.937, 0.000], [0.183, 0.183, 0.250], [0.817, 0.817, 0.250], [0.683, 0.317, 0.250], [0.317, 0.683, 0.250], [0.437, 0.244, 0.500], [0.244, 0.437, 0.500], [0.500, 0.500, 0.500], [0.756, 0.563, 0.500], [0.563, 0.756, 0.500], [0.683, 0.317, 0.750], [0.317, 0.683, 0.750], [0.183, 0.183, 0.750], [0.817, 0.817, 0.750], [0.466, 0.133, 0.000], [0.401, 0.401, 0.000], [0.133, 0.466, 0.000], [0.867, 0.534, 0.000], [0.599, 0.599, 0.000], [0.534, 0.867, 0.000], [0.633, 0.034, 0.500], [0.901, 0.099, 0.500], [0.966, 0.367, 0.500], [0.034, 0.633, 0.500], [0.099, 0.901, 0.500], [0.367, 0.966, 0.500]]
}

three | {
  "formula": "Ni3W2",
  "functional": "PBE-GGA",
  "state": "optimized geometry",
  "volume_a3_per_atom": 13.0,
  "lattice": [[8.940, 0.000, 0.000], [0.000, 8.940, 0.000], [0.000, 0.000, 4.884]],
  "species": ["Ni", "Ni", "Ni", "Ni", "Ni", "Ni", "Ni", "Ni", "Ni", "Ni", "Ni", "Ni", "Ni", "Ni", "Ni", "Ni", "Ni", "Ni", "W", "W", "W", "W", "W", "W", "W", "W", "W", "W", "W", "W"],
  "fractional_positions": [[0.370, 0.032, 0.000], [0.563, 0.240, 0.000], [0.032, 0.370, 0.000], [0.760, 0.437, 0.000], [0.500, 0.500, 0.000], [0.240, 0.563, 0.000], [0.968, 0.630, 0.000], [0.437, 0.760, 0.000], [0.630, 0.968, 0.000], [0.000, 0.000, 0.500], [0.260, 0.063, 0.500], [0.532, 0.130, 0.500], [0.063, 0.260, 0.500], [0.870, 0.468, 0.500], [0.130, 0.532, 0.500], [0.937, 0.740, 0.500], [0.468, 0.870, 0.500], [0.740, 0.937, 0.500], [0.102, 0.102, 0.000], [0.898, 0.898, 0.000], [0.812, 0.188, 0.250], [0.188, 0.812, 0.250], [0.312, 0.312, 0.250], [0.688, 0.688, 0.250], [0.602, 0.398, 0.500], [0.398, 0.602, 0.500], [0.312, 0.312, 0.750], [0.688, 0.688, 0.750], [0.812, 0.188, 0.750], [0.188, 0.812, 0.750]]
}

How do the energies compare? Relative to the most stable structure, in meV per atom: one 0; two 37; three 9.

one | {
  "formula": "Ni4W11",
  "functional": "PBE-GGA",
  "state": "optimized geometry",
  "volume_a3_per_atom": 15.1,
  "lattice": [[-9.003, -2.300, 1.196], [2.568, -8.504, 2.978], [0.195, 1.756, 4.845]],
  "species": ["Ni", "Ni", "Ni", "Ni", "Ni", "Ni", "Ni", "Ni", "W", "W", "W", "W", "W", "W", "W", "W", "W", "W", "W", "W", "W", "W", "W", "W", "W", "W", "W", "W", "W", "W"],
  "fractional_positions": [[0.468, 0.135, 0.000], [0.135, 0.468, 0.000], [0.865, 0.532, 0.000], [0.532, 0.865, 0.000], [0.635, 0.032, 0.500], [0.968, 0.365, 0.500], [0.032, 0.635, 0.500], [0.365, 0.968, 0.500], [0.000, 0.000, 0.000], [0.728, 0.053, 0.000], [0.947, 0.272, 0.000], [0.398, 0.398, 0.000], [0.602, 0.602, 0.000], [0.053, 0.728, 0.000], [0.272, 0.947, 0.000], [0.693, 0.307, 0.250], [0.307, 0.693, 0.250], [0.193, 0.193, 0.250], [0.807, 0.807, 0.250], [0.898, 0.102, 0.500], [0.447, 0.228, 0.500], [0.228, 0.447, 0.500], [0.500, 0.500, 0.500], [0.772, 0.553, 0.500], [0.553, 0.772, 0.500], [0.102, 0.898, 0.500], [0.193, 0.193, 0.750], [0.807, 0.807, 0.750], [0.693, 0.307, 0.750], [0.307, 0.693, 0.750]]
}

two | {
  "formula": "Ni4W11",
  "functional": "PBE-GGA",
  "state": "optimized geometry",
  "volume_a3_per_atom": 15.2,
  "lattice": [[-4.469, -1.724, 8.283], [3.721, -8.813, 0.173], [3.958, 1.720, 2.493]],
  "species": ["Ni", "Ni", "Ni", "Ni", "Ni", "Ni", "Ni", "Ni", "W", "W", "W", "W", "W", "W", "W", "W", "W", "W", "W", "W", "W", "W", "W", "W", "W", "W", "W", "W", "W", "W"],
  "fractional_positions": [[0.682, 0.318, 0.249], [0.318, 0.682, 0.249], [0.182, 0.182, 0.251], [0.818, 0.818, 0.251], [0.182, 0.182, 0.749], [0.818, 0.818, 0.749], [0.682, 0.318, 0.751], [0.318, 0.682, 0.751], [0.000, 0.000, 0.000], [0.737, 0.066, 0.000], [0.462, 0.135, 0.000], [0.934, 0.263, 0.000], [0.402, 0.402, 0.000], [0.135, 0.462, 0.000], [0.865, 0.538, 0.000], [0.598, 0.598, 0.000], [0.066, 0.737, 0.000], [0.538, 0.865, 0.000], [0.263, 0.934, 0.000], [0.635, 0.038, 0.500], [0.902, 0.098, 0.500], [0.434, 0.237, 0.500], [0.962, 0.365, 0.500], [0.237, 0.434, 0.500], [0.500, 0.500, 0.500], [0.763, 0.566, 0.500], [0.038, 0.635, 0.500], [0.566, 0.763, 0.500], [0.098, 0.902, 0.500], [0.365, 0.962, 0.500]]
}

How do the energies compare? Relative to the most stable structure, in meV per atom: one 0; two 61.

one | {
  "formula": "Ni6W7",
  "functional": "PBE-GGA",
  "state": "optimized geometry",
  "volume_a3_per_atom": 15.1,
  "lattice": [[2.566, 1.481, 8.590], [-2.566, 1.481, 8.590], [0.000, -2.963, 8.590]],
  "species": ["Ni", "Ni", "Ni", "Ni", "Ni", "Ni", "W", "W", "W", "W", "W", "W", "W"],
  "fractional_positions": [[0.166, 0.166, 0.166], [0.353, 0.353, 0.353], [0.455, 0.455, 0.455], [0.545, 0.545, 0.545], [0.647, 0.647, 0.647], [0.834, 0.834, 0.834], [0.000, 0.000, 0.000], [0.581, 0.087, 0.087], [0.087, 0.581, 0.087], [0.913, 0.913, 0.419], [0.087, 0.087, 0.581], [0.913, 0.419, 0.913], [0.419, 0.913, 0.913]]
}

two | {
  "formula": "Ni6W7",
  "functional": "PBE-GGA",
  "state": "optimized geometry",
  "volume_a3_per_atom": 13.4,
  "lattice": [[2.390, 1.380, 8.784], [-2.390, 1.380, 8.784], [0.000, -2.759, 8.784]],
  "species": ["Ni", "Ni", "Ni", "Ni", "Ni", "Ni", "W", "W", "W", "W", "W", "W", "W"],
  "fractional_positions": [[0.584, 0.090, 0.090], [0.090, 0.584, 0.090], [0.910, 0.910, 0.416], [0.090, 0.090, 0.584], [0.910, 0.416, 0.910], [0.416, 0.910, 0.910], [0.000, 0.000, 0.000], [0.162, 0.162, 0.162], [0.348, 0.348, 0.348], [0.453, 0.453, 0.453], [0.547, 0.547, 0.547], [0.652, 0.652, 0.652], [0.838, 0.838, 0.838]]
}

How do the energies compare? Relative to the most stable structure, in meV per atom: one 531; two 0.

one | {
  "formula": "Ni8W7",
  "functional": "PBE-GGA",
  "state": "optimized geometry",
  "volume_a3_per_atom": 13.4,
  "lattice": [[-3.920, -3.073, 7.749], [-3.897, -6.894, -4.705], [3.793, -2.718, 0.841]],
  "species": ["Ni", "Ni", "Ni", "Ni", "Ni", "Ni", "Ni", "Ni", "Ni", "Ni", "Ni", "Ni", "Ni", "Ni", "Ni", "Ni", "W", "W", "W", "W", "W", "W", "W", "W", "W", "W", "W", "W", "W", "W"],
  "fractional_positions": [[0.740, 0.063, 0.000], [0.937, 0.260, 0.000], [0.063, 0.740, 0.000], [0.260, 0.937, 0.000], [0.683, 0.317, 0.250], [0.317, 0.683, 0.250], [0.183, 0.183, 0.250], [0.817, 0.817, 0.250], [0.437, 0.240, 0.500], [0.240, 0.437, 0.500], [0.760, 0.563, 0.500], [0.563, 0.760, 0.500], [0.183, 0.183, 0.750], [0.817, 0.817, 0.750], [0.683, 0.317, 0.750], [0.317, 0.683, 0.750], [0.000, 0.000, 0.000], [0.461, 0.129, 0.000], [0.398, 0.398, 0.000], [0.129, 0.461, 0.000], [0.871, 0.539, 0.000], [0.602, 0.602, 0.000], [0.539, 0.871, 0.000], [0.629, 0.039, 0.500], [0.898, 0.102, 0.500], [0.961, 0.371, 0.500], [0.500, 0.500, 0.500], [0.039, 0.629, 0.500], [0.102, 0.898, 0.500], [0.371, 0.961, 0.500]]
}

two | {
  "formula": "Ni8W7",
  "functional": "PBE-GGA",
  "state": "optimized geometry",
  "volume_a3_per_atom": 13.5,
  "lattice": [[9.043, 0.000, 0.000], [0.000, 9.043, 0.000], [0.000, 0.000, 4.958]],
  "species": ["Ni", "Ni", "Ni", "Ni", "Ni", "Ni", "Ni", "Ni", "Ni", "Ni", "Ni", "Ni", "Ni", "Ni", "Ni", "Ni", "W", "W", "W", "W", "W", "W", "W", "W", "W", "W", "W", "W", "W", "W"],
  "fractional_positions": [[0.731, 0.065, 0.000], [0.464, 0.132, 0.000], [0.935, 0.269, 0.000], [0.132, 0.464, 0.000], [0.868, 0.536, 0.000], [0.065, 0.731, 0.000], [0.536, 0.868, 0.000], [0.269, 0.935, 0.000], [0.632, 0.036, 0.500], [0.435, 0.231, 0.500], [0.964, 0.368, 0.500], [0.231, 0.435, 0.500], [0.769, 0.565, 0.500], [0.036, 0.632, 0.500], [0.565, 0.769, 0.500], [0.368, 0.964, 0.500], [0.000, 0.000, 0.000], [0.398, 0.398, 0.000], [0.602, 0.602, 0.000], [0.689, 0.311, 0.250], [0.311, 0.689, 0.250], [0.189, 0.189, 0.250], [0.811, 0.811, 0.250], [0.898, 0.102, 0.500], [0.500, 0.500, 0.500], [0.102, 0.898, 0.500], [0.189, 0.189, 0.750], [0.811, 0.811, 0.750], [0.689, 0.311, 0.750], [0.311, 0.689, 0.750]]
}

How do the energies compare? Relative to the most stable structure, in meV per atom: one 0; two 9.

one | {
  "formula": "Ni11W4",
  "functional": "PBE-GGA",
  "state": "optimized geometry",
  "volume_a3_per_atom": 12.3,
  "lattice": [[-7.571, 2.126, -3.715], [3.571, -1.024, -7.864], [-1.319, -4.680, 0.010]],
  "species": ["Ni", "Ni", "Ni", "Ni", "Ni", "Ni", "Ni", "Ni", "Ni", "Ni", "Ni", "Ni", "Ni", "Ni", "Ni", "Ni", "Ni", "Ni", "Ni", "Ni", "Ni", "Ni", "W", "W", "W", "W", "W", "W", "W", "W"],
  "fractional_positions": [[0.368, 0.037, 0.000], [0.099, 0.099, 0.000], [0.565, 0.236, 0.000], [0.037, 0.368, 0.000], [0.764, 0.435, 0.000], [0.500, 0.500, 0.000], [0.236, 0.565, 0.000], [0.963, 0.632, 0.000], [0.435, 0.764, 0.000], [0.901, 0.901, 0.000], [0.632, 0.963, 0.000], [0.000, 0.000, 0.500], [0.264, 0.065, 0.500], [0.537, 0.132, 0.500], [0.065, 0.264, 0.500], [0.599, 0.401, 0.500], [0.868, 0.463, 0.500], [0.132, 0.537, 0.500], [0.401, 0.599, 0.500], [0.935, 0.736, 0.500], [0.463, 0.868, 0.500], [0.736, 0.935, 0.500], [0.817, 0.183, 0.249], [0.183, 0.817, 0.249], [0.317, 0.317, 0.251], [0.683, 0.683, 0.251], [0.317, 0.317, 0.749], [0.683, 0.683, 0.749], [0.817, 0.183, 0.751], [0.183, 0.817, 0.751]]
}

two | {
  "formula": "Ni11W4",
  "functional": "PBE-GGA",
  "state": "optimized geometry",
  "volume_a3_per_atom": 12.4,
  "lattice": [[-1.759, -7.296, -4.949], [-3.292, -4.138, 7.270], [-4.199, 1.661, -0.956]],
  "species": ["Ni", "Ni", "Ni", "Ni", "Ni", "Ni", "Ni", "Ni", "Ni", "Ni", "Ni", "Ni", "Ni", "Ni", "Ni", "Ni", "Ni", "Ni", "Ni", "Ni", "Ni", "Ni", "W", "W", "W", "W", "W", "W", "W", "W"],
  "fractional_positions": [[0.368, 0.032, 0.000], [0.101, 0.101, 0.000], [0.032, 0.368, 0.000], [0.500, 0.500, 0.000], [0.968, 0.632, 0.000], [0.899, 0.899, 0.000], [0.632, 0.968, 0.000], [0.825, 0.175, 0.249], [0.175, 0.825, 0.249], [0.325, 0.325, 0.251], [0.675, 0.675, 0.251], [0.000, 0.000, 0.500], [0.532, 0.132, 0.500], [0.601, 0.399, 0.500], [0.868, 0.468, 0.500], [0.132, 0.532, 0.500], [0.399, 0.601, 0.500], [0.468, 0.868, 0.500], [0.325, 0.325, 0.749], [0.675, 0.675, 0.749], [0.825, 0.175, 0.751], [0.175, 0.825, 0.751], [0.564, 0.235, 0.000], [0.765, 0.436, 0.000], [0.235, 0.564, 0.000], [0.436, 0.765, 0.000], [0.265, 0.064, 0.500], [0.064, 0.265, 0.500], [0.936, 0.735, 0.500], [0.735, 0.936, 0.500]]
}

How do the energies compare? Relative to the most stable structure, in meV per atom: one 13; two 0.

one | {
  "formula": "Y2ZrNi2",
  "functional": "PBE-GGA",
  "state": "optimized geometry",
  "volume_a3_per_atom": 20.7,
  "lattice": [[-2.042, 2.042, 6.202], [2.042, -2.042, 6.202], [2.042, 2.042, -6.202]],
  "species": ["Ni", "Ni", "Y", "Y", "Zr"],
  "fractional_positions": [[0.750, 0.250, 0.500], [0.250, 0.750, 0.500], [0.381, 0.381, 0.000], [0.619, 0.619, 0.000], [0.000, 0.000, 0.000]]
}

two | {
  "formula": "Y2ZrNi2",
  "functional": "PBE-GGA",
  "state": "optimized geometry",
  "volume_a3_per_atom": 21.5,
  "lattice": [[0.282, 0.984, 6.105], [-1.781, 5.522, 2.157], [-2.225, -4.334, -3.819]],
  "species": ["Ni", "Ni", "Y", "Y", "Zr"],
  "fractional_positions": [[0.397, 0.397, 0.000], [0.603, 0.603, 0.000], [0.750, 0.250, 0.500], [0.250, 0.750, 0.500], [0.000, 0.000, 0.000]]
}

How do the energies compare? Relative to the most stable structure, in meV per atom: one 284; two 0.